Material: Be3Tl2Ni2F12
Method: DFT, PBE+U
State: optimized geometry

Unit cell a=10.106 b=10.106 c=10.106 alpha=90.00 beta=90.00 gamma=90.00
Fractional coordinates of all 76 atoms:
Be  0.292  0.624  0.521
F  0.062  0.328  0.012
F  0.939  0.231  0.506
Tl  0.683  0.183  0.317
F  0.006  0.561  0.769
Tl  0.955  0.545  0.455
Ni  0.165  0.665  0.835
Ni  0.335  0.335  0.335
F  0.249  0.402  0.167
Be  0.521  0.292  0.624
F  0.938  0.828  0.488
F  0.700  0.769  0.546
Be  0.708  0.124  0.979
Ni  0.665  0.835  0.165
F  0.506  0.939  0.231
F  0.439  0.269  0.494
F  0.561  0.769  0.006
Ni  0.835  0.165  0.665
Be  0.979  0.708  0.124
F  0.562  0.172  0.988
F  0.494  0.439  0.269
F  0.751  0.902  0.333
F  0.046  0.800  0.231
Be  0.021  0.208  0.376
F  0.061  0.731  0.994
Ni  0.602  0.602  0.602
Be  0.876  0.479  0.792
F  0.300  0.269  0.954
F  0.098  0.833  0.749
Be  0.624  0.521  0.292
F  0.333  0.751  0.902
F  0.988  0.562  0.172
F  0.769  0.006  0.561
F  0.954  0.300  0.269
F  0.172  0.988  0.562
Tl  0.183  0.317  0.683
F  0.454  0.200  0.731
F  0.598  0.667  0.251
F  0.438  0.672  0.512
F  0.328  0.012  0.062
Be  0.376  0.021  0.208
Be  0.792  0.876  0.479
F  0.012  0.062  0.328
F  0.231  0.046  0.800
Be  0.479  0.792  0.876
Ni  0.398  0.102  0.898
F  0.769  0.546  0.700
F  0.402  0.167  0.249
F  0.269  0.954  0.300
F  0.800  0.231  0.046
Tl  0.317  0.683  0.183
F  0.731  0.994  0.061
Tl  0.545  0.455  0.955
F  0.269  0.494  0.439
Ni  0.898  0.398  0.102
Tl  0.817  0.817  0.817
Tl  0.045  0.045  0.045
F  0.512  0.438  0.672
F  0.167  0.249  0.402
F  0.667  0.251  0.598
Be  0.208  0.376  0.021
Ni  0.102  0.898  0.398
F  0.749  0.098  0.833
F  0.994  0.061  0.731
F  0.828  0.488  0.938
F  0.731  0.454  0.200
F  0.546  0.700  0.769
F  0.251  0.598  0.667
Be  0.124  0.979  0.708
F  0.488  0.938  0.828
F  0.833  0.749  0.098
F  0.902  0.333  0.751
F  0.200  0.731  0.454
F  0.672  0.512  0.438
F  0.231  0.506  0.939
Tl  0.455  0.955  0.545

uncorrected energy: -4.9306 eV per atom
spin magnetization: 16.20 Bohr magnetons per cell
density: 5.03 g/cm³